Entry 1:
Density functional theory data (PBE) for an optimized crystal structure of KCr2Sn.

abc: 5.7129 5.7129 10.0711
angles: 73.52 73.52 90.00
With the nearest neighbours (Å) after each atom.
Fractional coordinates of all 8 atoms:
K (0.2500, 0.7500, 0.5000)  8 Cr 3.94, 4 Sn 4.04
K (0.5000, 0.5000, 0.0000)  8 Cr 3.94, 4 Sn 4.04
Cr (0.8760, 0.6250, 0.2500)  2 Sn 2.71, 2 Cr 2.86
Cr (0.8750, 0.1240, 0.7500)  2 Sn 2.71, 2 Cr 2.86
Cr (0.3750, 0.1260, 0.7500)  2 Sn 2.71, 2 Cr 2.86
Cr (0.8740, 0.1250, 0.2500)  2 Sn 2.71, 2 Cr 2.86
Sn (0.7500, 0.2500, 0.5000)  4 Cr 2.71
Sn (0.0000, 0.0000, 0.0000)  4 Cr 2.71

Properties
For the total energy, the calculation gives -5.21 eV/atom. The space group is I-42d, No. 122. The total magnetization comes out at 2.232 μB per atom.



Entry 2:
Density functional theory data (PBE) for an optimized crystal structure of KCr2SnTe.

abc: 5.3984 5.9584 5.3984
angles: 90.00 90.00 90.00
With the nearest neighbours (Å) after each atom.
Fractional coordinates of all 5 atoms:
K (0.0000, 0.0000, 0.0000)  4 Cr 2.70, 2 Te 2.98
Cr (0.5000, 0.0000, 0.0000)  2 K 2.70
Cr (0.0000, 0.0000, 0.5000)  2 K 2.70
Sn (0.5000, 0.5000, 0.5000)  4 Te 3.82, 8 Cr 4.02
Te (0.0000, 0.5000, 0.0000)  2 K 2.98

Properties
The value obtained for the uncorrected formation energy is 1515 meV per atom. For the total energy, the calculation gives -3.98 eV/atom. The space group is P4/mmm, No. 123. The total magnetization comes out at 2.050 μB per atom.



Entry 3:
Density functional theory data (PBE) for an optimized crystal structure of KCrSn2W.

abc: 5.3610 4.7254 5.3610
angles: 90.00 90.00 90.00
With the nearest neighbours (Å) after each atom.
Fractional coordinates of all 5 atoms:
Sn (0.5000, 0.0000, 0.0000)  2 K 2.68
Sn (0.0000, 0.0000, 0.5000)  2 K 2.68
Cr (0.5000, 0.5000, 0.5000)  8 Sn 3.57, 4 W 3.79
W (0.0000, 0.5000, 0.0000)  2 K 2.36
K (0.0000, 0.0000, 0.0000)  2 W 2.36

Properties
For the total energy, the calculation gives -3.24 eV/atom. The value obtained for the energy relative to the lowest polymorph listed for this composition is 58.27 kcal/mol of atoms. The space group is P4/mmm, No. 123. The total magnetization comes out at 0.050 μB per atom.



Entry 4:
Density functional theory data (PBE) for an optimized crystal structure of KCrSn2W.

abc: 5.3287 4.9641 5.3287
angles: 90.00 90.00 90.00
With the nearest neighbours (Å) after each atom.
Fractional coordinates of all 5 atoms:
Sn (0.5000, 0.0000, 0.0000)  2 W 2.66
Sn (0.0000, 0.0000, 0.5000)  2 W 2.66
K (0.5000, 0.5000, 0.5000)  8 Sn 3.64, 4 Cr 3.77
Cr (0.0000, 0.5000, 0.0000)  2 W 2.48
W (0.0000, 0.0000, 0.0000)  2 Cr 2.48, 4 Sn 2.66

Properties
For the total energy, the calculation gives -5.76 eV/atom. The value obtained for the energy relative to the lowest polymorph listed for this composition is 0.00 kcal/mol of atoms. The space group is P4/mmm, No. 123. The total magnetization comes out at 0.654 μB per atom.



Entry 5:
Density functional theory data (PBE) for an optimized crystal structure of K2ZrCrSn.

abc: 6.4949 5.1989 6.4949
angles: 90.00 90.00 90.00
With the nearest neighbours (Å) after each atom.
Fractional coordinates of all 5 atoms:
Cr (0.0000, 0.5000, 0.0000)  2 Sn 2.60
K (0.5000, 0.0000, 0.0000)  2 Sn 3.25
K (0.0000, 0.0000, 0.5000)  2 Sn 3.25
Sn (0.0000, 0.0000, 0.0000)  2 Cr 2.60
Zr (0.5000, 0.5000, 0.5000)  8 K 4.16, 4 Cr 4.59

Properties
For the total energy, the calculation gives -3.59 eV/atom. The space group is P4/mmm, No. 123. The total magnetization comes out at 1.241 μB per atom.



Entry 6:
Density functional theory data (PBE) for an optimized crystal structure of KSrCr.

abc: 5.8810 5.8810 5.8810
angles: 60.00 60.00 60.00
With the nearest neighbours (Å) after each atom.
Fractional coordinates of all 3 atoms:
K (0.0000, 0.0000, 0.0000)  4 Cr 3.60
Sr (0.5000, 0.5000, 0.5000)  4 Cr 3.60
Cr (0.7500, 0.7500, 0.7500)  4 K 3.60, 4 Sr 3.60

Properties
For the total energy, the calculation gives -3.30 eV/atom. The value obtained for the energy relative to the lowest polymorph listed for this composition is 2.81 kcal/mol of atoms. The space group is F-43m, No. 216. The total magnetization comes out at 1.758 μB per atom.



Entry 7:
Density functional theory data (PBE) for an optimized crystal structure of KSr2Cr.

abc: 7.1512 7.1512 7.1512
angles: 135.62 135.62 64.56
With the nearest neighbours (Å) after each atom.
Fractional coordinates of all 4 atoms:
Cr (0.5000, 0.5000, 0.0000)  8 Sr 3.82-4.05, 4 K 4.05
Sr (0.2500, 0.7500, 0.5000)  4 K 3.82, 4 Sr 4.05, 4 Cr 4.05
Sr (0.0000, 0.0000, 0.0000)  4 Cr 3.82, 4 K 4.05, 4 Sr 4.05
K (0.7500, 0.2500, 0.5000)  8 Sr 3.82-4.05, 4 Cr 4.05

Properties
For the total energy, the calculation gives -2.90 eV/atom. The value obtained for the energy relative to the lowest polymorph listed for this composition is 4.18 kcal/mol of atoms. The space group is I-4m2, No. 119. The total magnetization comes out at 1.211 μB per atom.



Entry 8:
Density functional theory data (PBE) for an optimized crystal structure of KSr2Cr.

abc: 6.2158 6.2158 6.2158
angles: 60.00 60.00 60.00
With the nearest neighbours (Å) after each atom.
Fractional coordinates of all 4 atoms:
Sr (0.2500, 0.2500, 0.2500)  4 K 3.81, 4 Cr 3.81
Sr (0.7500, 0.7500, 0.7500)  4 Cr 3.81, 4 K 3.81
K (0.0000, 0.0000, 0.0000)  8 Sr 3.81
Cr (0.5000, 0.5000, 0.5000)  8 Sr 3.81

Properties
For the total energy, the calculation gives -2.96 eV/atom. The value obtained for the energy relative to the lowest polymorph listed for this composition is 2.78 kcal/mol of atoms. The space group is Fm-3m, No. 225. The total magnetization comes out at 1.179 μB per atom.



Repeat the third record exactly.
Density functional theory data (PBE) for an optimized crystal structure of KCrSn2W.

abc: 5.3610 4.7254 5.3610
angles: 90.00 90.00 90.00
With the nearest neighbours (Å) after each atom.
Fractional coordinates of all 5 atoms:
Sn (0.5000, 0.0000, 0.0000)  2 K 2.68
Sn (0.0000, 0.0000, 0.5000)  2 K 2.68
Cr (0.5000, 0.5000, 0.5000)  8 Sn 3.57, 4 W 3.79
W (0.0000, 0.5000, 0.0000)  2 K 2.36
K (0.0000, 0.0000, 0.0000)  2 W 2.36

Properties
For the total energy, the calculation gives -3.24 eV/atom. The value obtained for the energy relative to the lowest polymorph listed for this composition is 58.27 kcal/mol of atoms. The space group is P4/mmm, No. 123. The total magnetization comes out at 0.050 μB per atom.



> Which of these has the lowest total magnetization?

number 3



> Look up the total magnetization of the fourth one.

0.654 μB per atom



> What is the formula in the seventh record?

KSr2Cr